First-principles (GGA-PBEsol) data for a relaxed KAlAs2 crystal, as listed in the Alexandria database.

a = 7.689 Å, b = 4.053 Å, c = 6.716 Å
α = 90.00°, β = 97.71°, γ = 90.00°
Atoms (fractional coordinates):
K: 0.000 0.000 0.000
K: 0.500 0.500 0.000
Al: 0.317 0.000 0.527
Al: 0.817 0.500 0.527
As: 0.133 0.500 0.671
As: 0.226 0.500 0.323
As: 0.633 0.000 0.671
As: 0.726 0.000 0.323

Calculated values
calculated formation energy = -253 meV/atom
calculated density = 3.458 Mg/m³
DOS(E_F) = 0.171 states/eV/atom



First-principles (GGA-PBEsol) data for a relaxed KAl2As crystal, as listed in the Alexandria database.

a = 3.059 Å, b = 5.630 Å, c = 10.727 Å
α = 90.00°, β = 90.00°, γ = 90.00°
Atoms (fractional coordinates):
K: 0.000 0.000 0.000
K: 0.500 0.500 0.500
Al: 0.000 0.500 0.204
Al: 0.000 0.500 0.796
Al: 0.500 0.000 0.296
Al: 0.500 0.000 0.704
As: 0.000 0.000 0.500
As: 0.500 0.500 0.000

Calculated values
calculated formation energy = 90 meV/atom
calculated density = 3.019 Mg/m³
DOS(E_F) = 0.286 states/eV/atom



First-principles (GGA-PBEsol) data for a relaxed K3Al2As3 crystal, as listed in the Alexandria database.

a = 7.495 Å, b = 6.002 Å, c = 10.449 Å
α = 90.00°, β = 110.29°, γ = 90.00°
Atoms (fractional coordinates):
K: 0.024 0.250 0.149
K: 0.069 0.750 0.429
K: 0.369 0.250 0.920
K: 0.631 0.750 0.080
K: 0.931 0.250 0.571
K: 0.976 0.750 0.851
Al: 0.470 0.000 0.342
Al: 0.470 0.500 0.342
Al: 0.530 0.000 0.658
Al: 0.530 0.500 0.658
As: 0.241 0.750 0.180
As: 0.308 0.250 0.471
As: 0.347 0.750 0.751
As: 0.653 0.250 0.249
As: 0.692 0.750 0.529
As: 0.759 0.250 0.820

Calculated values
calculated formation energy = -555 meV/atom
calculated density = 2.983 Mg/m³



First-principles (GGA-PBEsol) data for a relaxed K2NaAlAs2 crystal, as listed in the Alexandria database.

a = 8.769 Å, b = 8.769 Å, c = 8.769 Å
α = 134.98°, β = 64.07°, γ = 136.93°
Atoms (fractional coordinates):
K: 0.175 0.240 0.415
K: 0.325 0.740 0.065
K: 0.675 0.260 0.935
K: 0.825 0.760 0.585
Na: 0.250 0.250 0.000
Na: 0.750 0.750 0.000
Al: 0.250 0.750 0.500
Al: 0.750 0.250 0.500
As: 0.095 0.701 0.797
As: 0.405 0.201 0.606
As: 0.595 0.799 0.394
As: 0.905 0.299 0.203

Calculated values
calculated formation energy = -561 meV/atom
calculated density = 2.874 Mg/m³



no.,electronic total energy (eV/f.u.)
1,-16.4
2,-14.1
3,-31.3
4,-21.3